# 1
Compound: Li2SiSb
Source: Alexandria via LeMat-Bulk
Functional: PBE
Structure: relaxed

a b c (Å): 3.3149 3.3149 6.5373
angles (deg): 90.00 90.00 90.00
Sites, in units of the cell vectors:
Li 0.0000 0.0000 0.9661
Li 0.0000 0.0000 0.5339
Sb 0.5000 0.5000 0.2500
Si 0.5000 0.5000 0.7500

## Properties
The value obtained for the polymorph energy (0 for the lowest one) is 92 meV per atom. The value obtained for the total DFT energy (no corrections) is -13.89 eV per cell. As for the formation energy without anion corrections: -0.13 eV per atom.

---

# 2
Compound: Ba2BiPb2
Source: Alexandria via LeMat-Bulk
Functional: PBE
Structure: relaxed

a b c (Å): 6.9720 6.9720 6.7282
angles (deg): 58.79 58.79 90.00
Sites, in units of the cell vectors:
Pb 0.3412 0.3412 0.3175
Pb 0.6588 0.6588 0.6825
Bi 0.0000 0.0000 0.0000
Ba 0.7500 0.2500 0.5000
Ba 0.2500 0.7500 0.5000

## Properties
The value obtained for the polymorph energy (0 for the lowest one) is 294 meV per atom. The value obtained for the total DFT energy (no corrections) is -16.56 eV per cell.